1.
First-principles (PBE) data for a relaxed Tb5Al4 crystal, as listed in Alexandria.

- DFT total energy (eV/atom) = -4.58
- formation energy from the elements (kJ/mol of formula units) = -294.7

Structure (CIF):
```
data_Tb5Al4
_cell_length_a 10.926
_cell_length_b 4.640
_cell_length_c 10.248
_cell_angle_alpha 90.00
_cell_angle_beta 114.26
_cell_angle_gamma 90.00
_symmetry_space_group_name_H-M 'C 1 2/m 1'
_symmetry_Int_Tables_number 12
loop_
_symmetry_equiv_pos_as_xyz
'x,y,z'
'-x,-y,-z'
'-x,y,-z'
'x,-y,z'
'x+1/2,y+1/2,z'
'-x+1/2,-y+1/2,-z'
'-x+1/2,y+1/2,-z'
'x+1/2,-y+1/2,z'
loop_
_atom_site_label
_atom_site_fract_x
_atom_site_fract_y
_atom_site_fract_z
Tb1 0.000 0.000 0.000
Tb2 0.098 0.000 0.394
Tb3 0.246 0.000 0.825
Al1 0.053 0.500 0.835
Al2 0.118 0.500 0.614
```



2.
First-principles (PBE) data for a relaxed Tb3Al11 crystal, as listed in Alexandria.

- DFT total energy (eV/atom) = -4.28
- formation energy from the elements (kJ/mol of formula units) = -469.7

Structure (CIF):
```
data_Tb3Al11
_cell_length_a 4.286
_cell_length_b 9.944
_cell_length_c 12.881
_cell_angle_alpha 90.00
_cell_angle_beta 90.00
_cell_angle_gamma 90.00
_symmetry_space_group_name_H-M 'I m m m'
_symmetry_Int_Tables_number 71
_symmetry_space_group_name_Hall '-I 2 2'
loop_
_atom_site_label
_atom_site_fract_x
_atom_site_fract_y
_atom_site_fract_z
Tb1 0.000 0.000 0.000
Tb2 0.000 0.000 0.315
Al1 0.000 0.210 0.500
Al2 0.000 0.277 0.138
Al3 0.000 0.371 0.336
Al4 0.000 0.500 0.000
```



3.
First-principles (PBE) data for a relaxed TbAl4 crystal, as listed in Alexandria.

- DFT total energy (eV/atom) = -4.27
- formation energy from the elements (kJ/mol of formula units) = -167.2

Structure (CIF):
```
data_TbAl4
_cell_length_a 4.443
_cell_length_b 6.285
_cell_length_c 13.723
_cell_angle_alpha 90.00
_cell_angle_beta 90.00
_cell_angle_gamma 90.00
_symmetry_space_group_name_H-M 'I m m a'
_symmetry_Int_Tables_number 74
_symmetry_space_group_name_Hall '-I 2b 2'
loop_
_atom_site_label
_atom_site_fract_x
_atom_site_fract_y
_atom_site_fract_z
Tb1 0.000 0.250 0.113
Al1 0.000 0.000 0.500
Al2 0.000 0.036 0.698
Al3 0.000 0.250 0.887
```



4.
First-principles (PBE) data for a relaxed Tb3Al2 crystal, as listed in Alexandria.

- DFT total energy (eV/atom) = -4.59
- formation energy from the elements (kJ/mol of formula units) = -154.2

Structure (CIF):
```
data_Tb3Al2
_cell_length_a 8.271
_cell_length_b 8.271
_cell_length_c 7.625
_cell_angle_alpha 90.00
_cell_angle_beta 90.00
_cell_angle_gamma 90.00
_symmetry_space_group_name_H-M 'P 42/m n m'
_symmetry_Int_Tables_number 136
_symmetry_space_group_name_Hall '-P 4n 2n'
loop_
_atom_site_label
_atom_site_fract_x
_atom_site_fract_y
_atom_site_fract_z
Tb1 0.000 0.500 0.250
Tb2 0.150 0.150 0.000
Tb3 0.202 0.202 0.500
Al1 0.119 0.881 0.307
```



5.
First-principles (PBE) data for a relaxed Tb5Al crystal, as listed in Alexandria.

- DFT total energy (eV/atom) = -4.58
- formation energy from the elements (kJ/mol of formula units) = -58.8
- excess energy over the best structure of this formula in the dataset (meV per atom) = 0

Structure (CIF):
```
data_Tb5Al
_cell_length_a 12.218
_cell_length_b 3.711
_cell_length_c 8.498
_cell_angle_alpha 90.00
_cell_angle_beta 112.55
_cell_angle_gamma 90.00
_symmetry_space_group_name_H-M 'C 1 2/m 1'
_symmetry_Int_Tables_number 12
loop_
_symmetry_equiv_pos_as_xyz
'x,y,z'
'-x,-y,-z'
'-x,y,-z'
'x,-y,z'
'x+1/2,y+1/2,z'
'-x+1/2,-y+1/2,-z'
'-x+1/2,y+1/2,-z'
'x+1/2,-y+1/2,z'
loop_
_atom_site_label
_atom_site_fract_x
_atom_site_fract_y
_atom_site_fract_z
Tb1 0.000 0.000 0.000
Tb2 0.143 0.500 0.359
Tb3 0.165 0.500 0.798
Al1 0.000 0.000 0.500
```



6.
First-principles (PBE) data for a relaxed TbAl4 crystal, as listed in Alexandria.

- DFT total energy (eV/atom) = -2.70
- formation energy from the elements (kJ/mol of formula units) = 590.3

Structure (CIF):
```
data_TbAl4
_cell_length_a 5.577
_cell_length_b 5.577
_cell_length_c 5.577
_cell_angle_alpha 90.00
_cell_angle_beta 90.00
_cell_angle_gamma 90.00
_symmetry_space_group_name_H-M 'P m -3 m'
_symmetry_Int_Tables_number 221
_symmetry_space_group_name_Hall '-P 4 2 3'
loop_
_atom_site_label
_atom_site_fract_x
_atom_site_fract_y
_atom_site_fract_z
Tb1 0.000 0.000 0.000
Al1 0.000 0.000 0.500
Al2 0.500 0.500 0.500
```



7.
First-principles (PBE) data for a relaxed Tb5Al3 crystal, as listed in Alexandria.

- DFT total energy (eV/atom) = -4.59
- formation energy from the elements (kJ/mol of formula units) = -229.1
- excess energy over the best structure of this formula in the dataset (meV per atom) = 0

Structure (CIF):
```
data_Tb5Al3
_cell_length_a 12.072
_cell_length_b 12.072
_cell_length_c 5.804
_cell_angle_alpha 90.00
_cell_angle_beta 90.00
_cell_angle_gamma 90.00
_symmetry_space_group_name_H-M 'I 4/m c m'
_symmetry_Int_Tables_number 140
_symmetry_space_group_name_Hall '-I 4 2c'
loop_
_atom_site_label
_atom_site_fract_x
_atom_site_fract_y
_atom_site_fract_z
Tb1 0.000 0.500 0.250
Tb2 0.084 0.218 0.000
Al1 0.000 0.000 0.250
Al2 0.161 0.339 0.500
```



8.
First-principles (PBE) data for a relaxed Tb5Al3 crystal, as listed in Alexandria.

- DFT total energy (eV/atom) = -4.58
- formation energy from the elements (kJ/mol of formula units) = -219.0
- excess energy over the best structure of this formula in the dataset (meV per atom) = 13

Structure (CIF):
```
data_Tb5Al3
_cell_length_a 7.793
_cell_length_b 7.793
_cell_length_c 14.355
_cell_angle_alpha 90.00
_cell_angle_beta 90.00
_cell_angle_gamma 90.00
_symmetry_space_group_name_H-M 'I 4/m c m'
_symmetry_Int_Tables_number 140
_symmetry_space_group_name_Hall '-I 4 2c'
loop_
_atom_site_label
_atom_site_fract_x
_atom_site_fract_y
_atom_site_fract_z
Tb1 0.000 0.000 0.000
Tb2 0.171 0.329 0.149
Al1 0.000 0.000 0.250
Al2 0.120 0.380 0.500
```



9.
First-principles (PBE) data for a relaxed Tb5Al crystal, as listed in Alexandria.

- DFT total energy (eV/atom) = -4.57
- formation energy from the elements (kJ/mol of formula units) = -52.3
- excess energy over the best structure of this formula in the dataset (meV per atom) = 11

Structure (CIF):
```
data_Tb5Al
_cell_length_a 4.812
_cell_length_b 14.936
_cell_length_c 4.829
_cell_angle_alpha 90.00
_cell_angle_beta 90.00
_cell_angle_gamma 90.00
_symmetry_space_group_name_H-M 'C m m m'
_symmetry_Int_Tables_number 65
_symmetry_space_group_name_Hall '-C 2 2'
loop_
_atom_site_label
_atom_site_fract_x
_atom_site_fract_y
_atom_site_fract_z
Tb1 0.000 0.000 0.000
Tb2 0.000 0.159 0.500
Tb3 0.000 0.336 0.000
Al1 0.000 0.500 0.500
```



10.
First-principles (PBE) data for a relaxed Tb3Al2 crystal, as listed in Alexandria.

- DFT total energy (eV/atom) = -4.59
- formation energy from the elements (kJ/mol of formula units) = -151.8

Structure (CIF):
```
data_Tb3Al2
_cell_length_a 4.820
_cell_length_b 6.678
_cell_length_c 8.119
_cell_angle_alpha 90.00
_cell_angle_beta 90.00
_cell_angle_gamma 90.00
_symmetry_space_group_name_H-M 'I m m m'
_symmetry_Int_Tables_number 71
_symmetry_space_group_name_Hall '-I 2 2'
loop_
_atom_site_label
_atom_site_fract_x
_atom_site_fract_y
_atom_site_fract_z
Tb1 0.000 0.000 0.000
Tb2 0.000 0.500 0.197
Al1 0.000 0.198 0.500
```



11.
First-principles (PBE) data for a relaxed Tb5Al6 crystal, as listed in Alexandria.

- DFT total energy (eV/atom) = -4.39
- formation energy from the elements (kJ/mol of formula units) = -254.4

Structure (CIF):
```
data_Tb5Al6
_cell_length_a 5.039
_cell_length_b 15.215
_cell_length_c 7.058
_cell_angle_alpha 90.00
_cell_angle_beta 90.00
_cell_angle_gamma 90.00
_symmetry_space_group_name_H-M 'C m m m'
_symmetry_Int_Tables_number 65
_symmetry_space_group_name_Hall '-C 2 2'
loop_
_atom_site_label
_atom_site_fract_x
_atom_site_fract_y
_atom_site_fract_z
Tb1 0.000 0.000 0.000
Tb2 0.000 0.332 0.500
Tb3 0.000 0.334 0.000
Al1 0.000 0.155 0.268
Al2 0.000 0.500 0.279
```



12.
First-principles (PBE) data for a relaxed Tb4Al crystal, as listed in Alexandria.

- DFT total energy (eV/atom) = -4.60
- formation energy from the elements (kJ/mol of formula units) = -69.5
- excess energy over the best structure of this formula in the dataset (meV per atom) = 0

Structure (CIF):
```
data_Tb4Al
_cell_length_a 3.529
_cell_length_b 3.529
_cell_length_c 23.195
_cell_angle_alpha 90.00
_cell_angle_beta 90.00
_cell_angle_gamma 90.00
_symmetry_space_group_name_H-M 'I 4/m m m'
_symmetry_Int_Tables_number 139
_symmetry_space_group_name_Hall '-I 4 2'
loop_
_atom_site_label
_atom_site_fract_x
_atom_site_fract_y
_atom_site_fract_z
Tb1 0.000 0.000 0.083
Tb2 0.000 0.000 0.304
Al1 0.000 0.000 0.500
```